A.
Below is a relaxed structure of ScCrCu, with properties calculated at the PBE level.

The structure belongs to space group C2/m (No. 12); the cell edges are 8.893, 4.342 and 6.520 Å and the angles 90.00°, 130.13° and 90.00°. The distinct sites, in fractional coordinates, are Sc at (0.245, 0.000, 0.192), Cr at (0.067, 0.000, 0.433) and Cu at (0.054, 0.500, 0.220).

B.
Below is a relaxed structure of ScCrCu, with properties calculated at the PBE level.

The structure belongs to space group I4mm (No. 107); the cell edges are 3.262, 3.262 and 9.239 Å and the angles 90.00°, 90.00° and 90.00°. The distinct sites, in fractional coordinates, are Sc at (0.000, 0.000, 0.000), Cr at (0.000, 0.000, 0.684) and Cu at (0.000, 0.000, 0.324).

C.
Below is a relaxed structure of ScCrCu, with properties calculated at the PBE level.

The structure belongs to space group I4mm (No. 107); the cell edges are 2.773, 2.773 and 11.691 Å and the angles 90.00°, 90.00° and 90.00°. The distinct sites, in fractional coordinates, are Sc at (0.000, 0.000, 0.000), Cr at (0.000, 0.000, 0.677) and Cu at (0.000, 0.000, 0.318).

Which structure is the most stable? The one labeled A.

A.
Below is a relaxed structure of ScCr3Cu, with properties calculated at the PBE level.

The structure belongs to space group Pm-3m (No. 221); the cell edges are 4.605, 4.605 and 4.605 Å and the angles 90.00°, 90.00° and 90.00°. The distinct sites, in fractional coordinates, are Sc at (0.000, 0.000, 0.000), Cr at (0.000, 0.500, 0.500) and Cu at (0.500, 0.500, 0.500).

B.
Below is a relaxed structure of ScCr3Cu, with properties calculated at the PBE level.

The structure belongs to space group Pm-3m (No. 221); the cell edges are 4.275, 4.275 and 4.275 Å and the angles 90.00°, 90.00° and 90.00°. The distinct sites, in fractional coordinates, are Sc at (0.000, 0.000, 0.000), Cr at (0.000, 0.000, 0.500) and Cu at (0.500, 0.500, 0.500).

Which structure is the most stable? The one labeled A.

A.
Below is a relaxed structure of Sc2CrCu2, with properties calculated at the PBE level.

The structure belongs to space group I4/mmm (No. 139); the cell edges are 3.336, 3.336 and 15.912 Å and the angles 90.00°, 90.00° and 90.00°. The distinct sites, in fractional coordinates, are Sc at (0.000, 0.000, 0.103), Cr at (0.000, 0.000, 0.500) and Cu at (0.000, 0.500, 0.250).

B.
Below is a relaxed structure of Sc2CrCu2, with properties calculated at the PBE level.

The structure belongs to space group P4/mbm (No. 127); the cell edges are 7.282, 7.282 and 3.112 Å and the angles 90.00°, 90.00° and 90.00°. The distinct sites, in fractional coordinates, are Sc at (0.178, 0.322, 0.000), Cr at (0.000, 0.000, 0.500) and Cu at (0.121, 0.621, 0.500).

C.
Below is a relaxed structure of Sc2CrCu2, with properties calculated at the PBE level.

The structure belongs to space group P4/mbm (No. 127); the cell edges are 7.326, 7.326 and 3.072 Å and the angles 90.00°, 90.00° and 90.00°. The distinct sites, in fractional coordinates, are Sc at (0.167, 0.333, 0.000), Cr at (0.000, 0.000, 0.000) and Cu at (0.129, 0.629, 0.500).

Which structure is the most stable? The one labeled A.